An optimized crystal structure of Dy3Ga8Pt3. Source: Alexandria via LeMat-Bulk, functional PBE.

Formation energy from the elements in eV per atom: -0.793
E_tot in eV per atom: -4.803
Calculated volume in A^3/atom: 18.4

abc: 8.123 8.123 9.383
angles: 124.45 124.45 30.94
Sites, in units of the cell vectors:
Dy 0.000 0.000 0.000
Dy 0.292 0.292 0.290
Dy 0.708 0.708 0.710
Ga 0.143 0.143 0.430
Ga 0.150 0.150 0.867
Ga 0.344 0.344 0.715
Ga 0.500 0.500 0.325
Ga 0.500 0.500 0.675
Ga 0.656 0.656 0.285
Ga 0.850 0.850 0.133
Ga 0.857 0.857 0.570
Pt 0.000 0.000 0.500
Pt 0.354 0.354 0.993
Pt 0.646 0.646 0.007

An optimized crystal structure of Dy2Ga5Pt4. Source: Alexandria via LeMat-Bulk, functional PBE.

Formation energy from the elements in eV per atom: -0.843
E_tot in eV per atom: -5.252
Calculated volume in A^3/atom: 18.6

abc: 9.448 8.692 5.320
angles: 80.93 65.29 33.78
Sites, in units of the cell vectors:
Dy 0.124 0.124 0.876
Dy 0.876 0.876 0.124
Ga 0.000 0.000 0.500
Ga 0.250 0.250 0.250
Ga 0.500 0.500 0.000
Ga 0.500 0.500 0.500
Ga 0.750 0.750 0.750
Pt 0.210 0.528 0.472
Pt 0.472 0.790 0.210
Pt 0.528 0.210 0.790
Pt 0.790 0.472 0.528

An optimized crystal structure of Dy6Ga19Pt3. Source: Alexandria via LeMat-Bulk, functional PBE.

Formation energy from the elements in eV per atom: -0.621
E_tot in eV per atom: -4.308
Calculated volume in A^3/atom: 18.8

abc: 8.206 8.206 16.071
angles: 100.56 100.56 29.72
Sites, in units of the cell vectors:
Dy 0.000 0.000 0.000
Dy 0.165 0.165 0.841
Dy 0.323 0.323 0.675
Dy 0.501 0.501 0.500
Dy 0.662 0.662 0.341
Dy 0.820 0.820 0.179
Ga 0.017 0.017 0.359
Ga 0.084 0.084 0.632
Ga 0.140 0.140 0.485
Ga 0.180 0.180 0.200
Ga 0.228 0.228 0.049
Ga 0.307 0.307 0.319
Ga 0.368 0.368 0.904
Ga 0.417 0.417 0.094
Ga 0.456 0.456 0.269
Ga 0.518 0.518 0.859
Ga 0.592 0.592 0.136
Ga 0.640 0.640 0.984
Ga 0.683 0.683 0.690
Ga 0.732 0.732 0.541
Ga 0.806 0.806 0.982
Ga 0.807 0.807 0.814
Ga 0.866 0.866 0.410
Ga 0.906 0.906 0.582
Ga 0.956 0.956 0.758
Pt 0.017 0.017 0.197
Pt 0.302 0.302 0.478
Pt 0.526 0.526 0.704

An optimized crystal structure of Dy3Ga2Pt7. Source: Alexandria via LeMat-Bulk, functional PBE.

Energy above the most stable polymorph in this dataset in meV/atom: 0
Formation energy from the elements in eV per atom: -0.982
E_tot in eV per atom: -6.160
Calculated volume in A^3/atom: 18.8

abc: 14.172 14.172 14.172
angles: 163.65 163.65 23.20
Sites, in units of the cell vectors:
Dy 0.000 0.000 0.000
Dy 0.176 0.176 0.000
Dy 0.824 0.824 0.000
Ga 0.369 0.369 0.000
Ga 0.631 0.631 0.000
Pt 0.078 0.578 0.500
Pt 0.280 0.280 0.000
Pt 0.422 0.922 0.500
Pt 0.500 0.500 0.000
Pt 0.578 0.078 0.500
Pt 0.720 0.720 0.000
Pt 0.922 0.422 0.500